Entry 1:
Density functional theory data (meta-GGA SCAN) for a PBEsol-optimized structure of Ti2SiBrF.

Lattice parameters (Å, degrees): 4.808 4.808 4.983 90.00 90.00 90.00
Positions (direct):
1 Ti 0.000 0.500 0.000
2 Ti 0.500 0.000 0.000
3 Si 0.000 0.000 0.000
4 Br 0.000 0.000 0.500
5 F 0.500 0.500 0.500

Values from the calculation:
The calculation puts the final energy at -64.11 eV for the cell shown. For the density of states at the Fermi level, the calculation gives 5.913 states/eV/f.u. The formation energy from raw total energies is 18.7 kJ/mol of atoms.



Entry 2:
Density functional theory data (meta-GGA SCAN) for a PBEsol-optimized structure of Sr3BrF.

Lattice parameters (Å, degrees): 5.583 5.583 5.583 90.00 90.00 90.00
Positions (direct):
1 Sr 0.000 0.000 0.500
2 Sr 0.000 0.500 0.000
3 Sr 0.500 0.000 0.000
4 Br 0.500 0.500 0.500
5 F 0.000 0.000 0.000

Values from the calculation:
The calculation puts the final energy at -95.55 eV for the cell shown. For the density of states at the Fermi level, the calculation gives 5.503 states/eV/f.u. The formation energy from raw total energies is -110.5 kJ/mol of atoms.



Entry 3:
Density functional theory data (meta-GGA SCAN) for a PBEsol-optimized structure of SrBrF.

Lattice parameters (Å, degrees): 4.181 4.181 7.286 90.00 90.00 90.00
Positions (direct):
1 Sr 0.250 0.250 0.187
2 Sr 0.750 0.750 0.813
3 Br 0.250 0.250 0.646
4 Br 0.750 0.750 0.354
5 F 0.250 0.750 0.000
6 F 0.750 0.250 0.000

Values from the calculation:
The calculation puts the final energy at -110.62 eV for the cell shown. For the density of states at the Fermi level, the calculation gives 0.000 states/eV/f.u. The formation energy from raw total energies is -322.7 kJ/mol of atoms.



Entry 4:
Density functional theory data (meta-GGA SCAN) for a PBEsol-optimized structure of SrBrF2.

Lattice parameters (Å, degrees): 9.289 9.289 9.289 23.34 23.34 23.34
Positions (direct):
1 Sr 0.000 0.000 0.000
2 Br 0.500 0.500 0.500
3 F 0.371 0.371 0.371
4 F 0.629 0.629 0.629

Values from the calculation:
The calculation puts the final energy at -59.63 eV for the cell shown. For the density of states at the Fermi level, the calculation gives 1.141 states/eV/f.u. The formation energy from raw total energies is -260.8 kJ/mol of atoms.



Entry 5:
Density functional theory data (meta-GGA SCAN) for a PBEsol-optimized structure of SrBrF2.

Lattice parameters (Å, degrees): 4.572 4.572 4.572 60.00 60.00 60.00
Positions (direct):
1 Sr 0.000 0.000 0.000
2 Br 0.500 0.500 0.500
3 F 0.250 0.250 0.250
4 F 0.750 0.750 0.750

Values from the calculation:
The calculation puts the final energy at -58.60 eV for the cell shown. For the density of states at the Fermi level, the calculation gives 4.569 states/eV/f.u. The formation energy from raw total energies is -236.1 kJ/mol of atoms.



Entry 6:
Density functional theory data (meta-GGA SCAN) for a PBEsol-optimized structure of Ta2BrF.

Lattice parameters (Å, degrees): 4.403 4.403 4.403 60.00 60.00 60.00
Positions (direct):
1 Ta 0.250 0.250 0.250
2 Ta 0.750 0.750 0.750
3 Br 0.000 0.000 0.000
4 F 0.500 0.500 0.500

Values from the calculation:
The calculation puts the final energy at -154.05 eV for the cell shown. For the density of states at the Fermi level, the calculation gives 3.102 states/eV/f.u. The formation energy from raw total energies is 51.1 kJ/mol of atoms.



Entry 7:
Density functional theory data (meta-GGA SCAN) for a PBEsol-optimized structure of TeBrF2.

Lattice parameters (Å, degrees): 4.411 4.411 4.411 60.00 60.00 60.00
Positions (direct):
1 Te 0.000 0.000 0.000
2 Br 0.500 0.500 0.500
3 F 0.250 0.250 0.250
4 F 0.750 0.750 0.750

Values from the calculation:
The calculation puts the final energy at -65.83 eV for the cell shown. For the density of states at the Fermi level, the calculation gives 2.849 states/eV/f.u. The formation energy from raw total energies is -49.1 kJ/mol of atoms.



Entry 8:
Density functional theory data (meta-GGA SCAN) for a PBEsol-optimized structure of Te2BrF2.

Lattice parameters (Å, degrees): 7.624 7.624 3.157 90.00 90.00 90.00
Positions (direct):
1 Te 0.132 0.368 0.000
2 Te 0.368 0.868 0.000
3 Te 0.632 0.132 0.000
4 Te 0.868 0.632 0.000
5 Br 0.000 0.000 0.000
6 Br 0.500 0.500 0.000
7 F 0.168 0.668 0.500
8 F 0.332 0.168 0.500
9 F 0.668 0.832 0.500
10 F 0.832 0.332 0.500

Values from the calculation:
The calculation puts the final energy at -208.86 eV for the cell shown. For the density of states at the Fermi level, the calculation gives 1.707 states/eV/f.u. The formation energy from raw total energies is -65.4 kJ/mol of atoms.



Entry 9:
Density functional theory data (meta-GGA SCAN) for a PBEsol-optimized structure of TeBrF2.

Lattice parameters (Å, degrees): 8.503 8.503 8.503 21.93 21.93 21.93
Positions (direct):
1 Te 0.000 0.000 0.000
2 Br 0.500 0.500 0.500
3 F 0.421 0.421 0.421
4 F 0.579 0.579 0.579

Values from the calculation:
The calculation puts the final energy at -65.72 eV for the cell shown. For the density of states at the Fermi level, the calculation gives 2.528 states/eV/f.u. The formation energy from raw total energies is -46.6 kJ/mol of atoms.



Entry 10:
Density functional theory data (meta-GGA SCAN) for a PBEsol-optimized structure of Ti2BrF2.

Lattice parameters (Å, degrees): 5.565 5.565 5.565 140.35 140.35 57.32
Positions (direct):
1 Ti 0.250 0.750 0.500
2 Ti 0.750 0.250 0.500
3 Br 0.000 0.000 0.000
4 F 0.366 0.366 0.000
5 F 0.634 0.634 0.000

Values from the calculation:
The calculation puts the final energy at -66.27 eV for the cell shown. For the density of states at the Fermi level, the calculation gives 1.990 states/eV/f.u. The formation energy from raw total energies is -148.1 kJ/mol of atoms.



Entry 11:
Density functional theory data (meta-GGA SCAN) for a PBEsol-optimized structure of TiBrF2.

Lattice parameters (Å, degrees): 6.098 6.098 6.098 120.20 120.20 89.65
Positions (direct):
1 Ti 0.375 0.625 0.750
2 Ti 0.625 0.375 0.250
3 Br 0.125 0.875 0.250
4 Br 0.875 0.125 0.750
5 F 0.000 0.500 0.500
6 F 0.500 0.000 0.000
7 F 0.500 0.500 0.000
8 F 0.500 0.500 0.500

Values from the calculation:
The calculation puts the final energy at -104.15 eV for the cell shown. For the density of states at the Fermi level, the calculation gives 3.861 states/eV/f.u. The formation energy from raw total energies is -229.3 kJ/mol of atoms.



Entry 12:
Density functional theory data (meta-GGA SCAN) for a PBEsol-optimized structure of Tl3BrF.

Lattice parameters (Å, degrees): 6.016 6.016 6.016 90.00 90.00 90.00
Positions (direct):
1 Tl 0.000 0.000 0.500
2 Tl 0.000 0.500 0.000
3 Tl 0.500 0.000 0.000
4 Br 0.000 0.000 0.000
5 F 0.500 0.500 0.500

Values from the calculation:
The calculation puts the final energy at -241.51 eV for the cell shown. For the density of states at the Fermi level, the calculation gives 2.698 states/eV/f.u. The formation energy from raw total energies is -27.8 kJ/mol of atoms.